[1]
VASP calculation (PBE) on an optimized crystal structure of LaSbSe4.

Results
Crystal system: cubic
Formation energy (no corrections) in eV/f.u.: -1.11
Raw total energy in eV per atom: -4.02
Calculated volume in Å³ per atom: 23.9
Relative energy among the computed polymorphs in eV/f.u.: 4.033

Unit cell a=8.304 b=8.304 c=8.304 alpha=90.00 beta=90.00 gamma=90.00
Space group F-43m (No. 216)
Symmetry-distinct sites (fractional):
La 0.000 0.000 0.000
Sb 0.250 0.250 0.750
Se 0.125 0.125 0.375

=====

[2]
VASP calculation (PBE) on an optimized crystal structure of BaYMo2.

Results
Crystal system: tetragonal
Raw total energy in eV per atom: -6.80
Formation enthalpy at 0 K in eV/f.u.: 2.9
Calculated volume in Å³ per atom: 28.4
Relative energy among the computed polymorphs in eV/f.u.: 1.122

Unit cell a=3.995 b=3.995 c=7.127 alpha=90.00 beta=90.00 gamma=90.00
Space group P4/mmm (No. 123)
Symmetry-distinct sites (fractional):
Ba 0.000 0.000 0.000
Y 0.000 0.000 0.500
Mo 0.500 0.500 0.343